1.
## InTc (PBE-GGA)

Data for an optimized crystal structure of InTc.

```
InTc
1.0
-2.865 -4.465 6.847
-0.837 -6.422 5.752
2.227 1.582 1.298
In Tc
2 2
Direct
0.087 0.087 0.088
0.913 0.913 0.912
0.708 0.708 0.708
0.292 0.292 0.292
```

## Properties
VASP energy (eV per formula unit): -13.080
Space-group type: C2/m



2.
## TbNpNb (PBE-GGA)

Data for an optimized crystal structure of TbNpNb.

```
TbNpNb
1.0
4.295 -2.116 0.619
0.255 -4.440 1.877
1.277 -3.729 -2.787
Tb Nb Np
1 1 1
Direct
0.750 0.750 0.750
0.000 0.000 0.000
0.250 0.250 0.250
```

## Properties
Offset from the most stable computed form (meV per atom): 0.0
Energy of formation from the pure elements (eV/atom): 0.971
Space-group type: F-43m



Number 1: total magnetic moment 0.0 μB/cell. Number 2: total magnetic moment 3.0 μB/cell.